EuCdBi2 | PBE-GGA | relaxed

Cell: 5.0405 5.0405 4.6299 Å, 90.00 90.00 90.00°
Space group P4/mmm (No. 123)
Symmetry-distinct sites (fractional):
Eu (0.0000, 0.0000, 0.0000) (multiplicity 1)
Cd (0.5000, 0.5000, 0.0000) (multiplicity 1)
Bi (0.0000, 0.5000, 0.5000) (multiplicity 2)

Summary:
The formation energy comes out at -0.460 eV/atom. The value obtained for the density is 9.6 Mg/m³.